{
  "formula": "MgCoAu2",
  "functional": "PBE",
  "state": "relaxed",
  "magnetic_moment_mub_per_fu": 1.52,
  "dos_ef_per_ev_cell": 10.6,
  "formation_enthalpy_0k_ev_per_atom": -0.120,
  "vol_a3_per_cell": 128.65,
  "sg": "I4/mmm, No. 139",
  "dft_energy_ev_per_atom": -3.934,
  "lattice_angstrom": [[4.1893, 0.0000, 0.0000], [0.0000, 4.1893, 0.0000], [0.0000, 0.0000, 7.3304]],
  "species": ["Mg", "Mg", "Co", "Co", "Au", "Au", "Au", "Au"],
  "frac_coords": [[0.0000, 0.0000, 0.0000], [0.5000, 0.5000, 0.5000], [0.0000, 0.0000, 0.5000], [0.5000, 0.5000, 0.0000], [0.0000, 0.5000, 0.2500], [0.0000, 0.5000, 0.7500], [0.5000, 0.0000, 0.2500], [0.5000, 0.0000, 0.7500]]
}